Crystalline Nd2Sm2C2Br2Cl3 at its relaxed geometry, computed with GGA-PBE.

Output
* M_tot: 0.01 μB/f.u.
* V: 284 Å³/f.u.
* energy relative to the lowest polymorph listed for this composition: 0.04 eV per formula unit

a = 18.893 Å, b = 3.871 Å, c = 7.977 Å
α = 90.00°, β = 103.41°, γ = 90.00°
Space group C2/m (No. 12)
One atom of each set of equivalent atoms:
Nd: 0.002 0.000 0.291 x4
Sm: 0.159 0.500 0.597 x4
C: 0.038 0.500 0.523 x4
Br: 0.163 0.000 0.872 x4
Cl: 0.000 0.500 0.000 x2
Cl: 0.172 0.000 0.346 x4